No. 1
Here is an optimized crystal structure of KHf2N from the Alexandria database. Energies are from PBE.

Its density of states at the Fermi level is 2.1 states/eV/f.u. Its electronic total energy is -29.4 eV/f.u. For the density, the calculation gives 6.1 g/cm³. Its formation energy (no corrections) is -0.03 eV/atom.

It has space group Fd-3m (No. 227, origin choice 2), with a = 9.634 Å, b = 9.634 Å, c = 9.634 Å, α = 90.00°, β = 90.00° and γ = 90.00°. The asymmetric unit holds K at (0.125, 0.125, 0.125), Hf at (0.000, 0.000, 0.500) and N at (0.125, 0.125, 0.625).

***

No. 2
Here is an optimized crystal structure of AcDyGa2Rh2 from the Alexandria database. Energies are from PBE.

Its density of states at the Fermi level is 4.5 states/eV/f.u. Its electronic total energy is -34.2 eV/f.u. For the density, the calculation gives 9.3 g/cm³.

It has space group P-3m1 (No. 164), with a = 4.4424 Å, b = 4.4424 Å, c = 7.6677 Å, α = 90.00°, β = 90.00° and γ = 120.00°. The asymmetric unit holds Ac at (0.0000, 0.0000, 0.0000), Dy at (0.0000, 0.0000, 0.5000), Ga at (0.3333, 0.6667, 0.2895) and Rh at (0.3333, 0.6667, 0.7077).

***

No. 3
Here is an optimized crystal structure of K3AgI4 from the Alexandria database. Energies are from PBE.

Its density of states at the Fermi level is 0.0 states/eV/f.u. Its electronic total energy is -21.3 eV/f.u. For the density, the calculation gives 3.0 g/cm³. The energy above the lowest structure with this stoichiometry is 11.0 meV per atom. Its formation energy (no corrections) is -1.12 eV/atom.

It has space group Pmn2_1 (No. 31), with a = 11.634 Å, b = 9.718 Å, c = 7.147 Å, α = 90.00°, β = 90.00° and γ = 90.00°. The asymmetric unit holds K at (0.000, 0.147, 0.000), K at (0.236, 0.332, 0.503), Ag at (0.000, 0.818, 0.410), I at (0.000, 0.114, 0.500), I at (0.000, 0.801, 0.008) and I at (0.222, 0.692, 0.503).

***

No. 4
Here is an optimized crystal structure of TaCdHg2 from the Alexandria database. Energies are from PBE.

Its density of states at the Fermi level is 2.3 states/eV/f.u. Its electronic total energy is -11.7 eV/f.u. For the density, the calculation gives 13.9 g/cm³.

It has space group P2/m (No. 10), with a = 3.031 Å, b = 4.584 Å, c = 6.083 Å, α = 90.00°, β = 100.80° and γ = 90.00°. The asymmetric unit holds Ta at (0.000, 0.000, 0.000), Cd at (0.500, 0.000, 0.500) and Hg at (0.298, 0.500, 0.762).

***

No. 5
Here is an optimized crystal structure of HoScIrOs from the Alexandria database. Energies are from PBE.

Its density of states at the Fermi level is 1.9 states/eV/f.u. Its electronic total energy is -33.2 eV/f.u. For the density, the calculation gives 13.6 g/cm³.

It has space group F-43m (No. 216), with a = 6.621 Å, b = 6.621 Å, c = 6.621 Å, α = 90.00°, β = 90.00° and γ = 90.00°. The asymmetric unit holds Ho at (0.000, 0.000, 0.000), Sc at (0.000, 0.000, 0.500), Ir at (0.250, 0.250, 0.750) and Os at (0.250, 0.250, 0.250).

***

No. 6
Here is an optimized crystal structure of Ta2Mn2Cl from the Alexandria database. Energies are from PBE.

Its density of states at the Fermi level is 3.9 states/eV/f.u. Its electronic total energy is -41.8 eV/f.u. For the density, the calculation gives 10.2 g/cm³. The energy above the lowest structure with this stoichiometry is 0.0 meV per atom. Its formation energy (no corrections) is 0.41 eV/atom.

It has space group P4/mbm (No. 127), with a = 7.278 Å, b = 7.278 Å, c = 3.115 Å, α = 90.00°, β = 90.00° and γ = 90.00°. The asymmetric unit holds Ta at (0.151, 0.349, 0.000), Mn at (0.129, 0.629, 0.500) and Cl at (0.000, 0.000, 0.000).

***

No. 7
Here is an optimized crystal structure of BaAcGaCu from the Alexandria database. Energies are from PBE.

Its density of states at the Fermi level is 3.7 states/eV/f.u. Its electronic total energy is -14.1 eV/f.u. For the density, the calculation gives 5.9 g/cm³. The energy above the lowest structure with this stoichiometry is 0.0 meV per atom.

It has space group R3m (No. 160, hexagonal axes), with a = 4.4911 Å, b = 4.4911 Å, c = 24.2202 Å, α = 90.00°, β = 90.00° and γ = 120.00°. The asymmetric unit holds Ba at (0.0000, 0.0000, 0.0000), Ac at (0.0000, 0.0000, 0.8282), Ga at (0.0000, 0.0000, 0.2387) and Cu at (0.0000, 0.0000, 0.5727).

***

No. 8
Here is an optimized crystal structure of PmNdSmCu from the Alexandria database. Energies are from PBE.

Its density of states at the Fermi level is 4.4 states/eV/f.u. Its electronic total energy is -18.6 eV/f.u. For the density, the calculation gives 7.3 g/cm³.

It has space group P4mm (No. 99), with a = 3.608 Å, b = 3.608 Å, c = 8.792 Å, α = 90.00°, β = 90.00° and γ = 90.00°. The asymmetric unit holds Pm at (0.000, 0.000, 0.000), Nd at (0.500, 0.500, 0.694), Sm at (0.000, 0.000, 0.390) and Cu at (0.500, 0.500, 0.198).